A plane-wave DFT calculation with PBE was carried out for crystalline CaSc2Mn2 at its relaxed geometry.

## Properties
- Crystal system: tetragonal
- Energy of formation from the pure elements: 0.171 eV per atom
- Density: 3.7 Mg/m³

CIF file:
```
data_CaSc2Mn2
_chemical_formula_sum 'Ca2 Sc4 Mn4'
_cell_length_a 8.019
_cell_length_b 8.019
_cell_length_c 3.340
_cell_angle_alpha 90.00
_cell_angle_beta 90.00
_cell_angle_gamma 90.00
_symmetry_space_group_name_H-M 'P 4/m b m'
_symmetry_Int_Tables_number 127
_symmetry_space_group_name_Hall '-P 4 2ab'
loop_
_atom_site_label
_atom_site_type_symbol
_atom_site_fract_x
_atom_site_fract_y
_atom_site_fract_z
Ca1 Ca 0.000 0.000 0.000
Sc1 Sc 0.160 0.340 0.500
Mn1 Mn 0.123 0.623 0.000
```



A plane-wave DFT calculation with PBE was carried out for crystalline Ca2ScMnSe at its relaxed geometry.

## Properties
- Energy relative to the elements, uncorrected: 0.09 eV per atom
- Crystal system: tetragonal
- Density: 3.1 Mg/m³

CIF file:
```
data_Ca2ScMnSe
_chemical_formula_sum 'Ca2 Sc1 Mn1 Se1'
_cell_length_a 5.422
_cell_length_b 5.422
_cell_length_c 4.648
_cell_angle_alpha 90.00
_cell_angle_beta 90.00
_cell_angle_gamma 90.00
_symmetry_space_group_name_H-M 'P 4/m m m'
_symmetry_Int_Tables_number 123
_symmetry_space_group_name_Hall '-P 4 2'
loop_
_atom_site_label
_atom_site_type_symbol
_atom_site_fract_x
_atom_site_fract_y
_atom_site_fract_z
Ca1 Ca 0.000 0.500 0.000
Sc1 Sc 0.000 0.000 0.500
Mn1 Mn 0.000 0.000 0.000
Se1 Se 0.500 0.500 0.500
```



A plane-wave DFT calculation with PBE was carried out for crystalline CaScMnTc2 at its relaxed geometry.

## Properties
- Crystal system: tetragonal
- Energy of formation from the pure elements: 1.973 eV per atom
- Density: 5.2 Mg/m³

CIF file:
```
data_CaScMnTc2
_chemical_formula_sum 'Ca1 Sc1 Mn1 Tc2'
_cell_length_a 4.570
_cell_length_b 4.570
_cell_length_c 5.099
_cell_angle_alpha 90.00
_cell_angle_beta 90.00
_cell_angle_gamma 90.00
_symmetry_space_group_name_H-M 'P 4/m m m'
_symmetry_Int_Tables_number 123
_symmetry_space_group_name_Hall '-P 4 2'
loop_
_atom_site_label
_atom_site_type_symbol
_atom_site_fract_x
_atom_site_fract_y
_atom_site_fract_z
Ca1 Ca 0.000 0.000 0.000
Sc1 Sc 0.000 0.000 0.500
Mn1 Mn 0.500 0.500 0.000
Tc1 Tc 0.000 0.500 0.500
```